Entry 1:
# KSbTe2 | the Alexandria database | PBE | relaxed
data_KSbTe2
_chemical_formula_sum 'K1 Sb1 Te2'
_space_group_name_H-M_alt 'P 1'
_space_group_IT_number 1
_cell_length_a 6.2961
_cell_length_b 6.2961
_cell_length_c 6.2961
_cell_angle_alpha 138.81
_cell_angle_beta 118.88
_cell_angle_gamma 76.37
loop_
_space_group_symop_operation_xyz
'x,y,z'
loop_
_atom_site_label
_atom_site_type_symbol
_atom_site_fract_x
_atom_site_fract_y
_atom_site_fract_z
Te1 Te 0.0425 0.0425 0.0000
Te2 Te 0.4575 0.4575 0.0000
Sb1 Sb 0.2500 0.7500 0.5000
K1 K 0.7500 0.2500 0.5000
# - Space-group type: No. 71
# - Raw formation energy: -0.280 eV/atom
# - D(E_F): 2.71 states/eV/f.u.
# - Density: 4.92 g/cm³



Entry 2:
# Tb4SbRh | the Alexandria database | PBE | relaxed
data_Tb4SbRh
_chemical_formula_sum 'Tb8 Sb2 Rh2'
_space_group_name_H-M_alt 'P 1'
_space_group_IT_number 1
_cell_length_a 6.1148
_cell_length_b 6.5772
_cell_length_c 8.7354
_cell_angle_alpha 90.00
_cell_angle_beta 110.21
_cell_angle_gamma 90.00
loop_
_space_group_symop_operation_xyz
'x,y,z'
loop_
_atom_site_label
_atom_site_type_symbol
_atom_site_fract_x
_atom_site_fract_y
_atom_site_fract_z
Tb1 Tb 0.4319 0.7500 0.5958
Tb2 Tb 0.9925 0.5004 0.2906
Tb3 Tb 0.0075 0.4996 0.7094
Tb4 Tb 0.5681 0.2500 0.4042
Tb5 Tb 0.3971 0.7500 0.1158
Tb6 Tb 0.0075 0.0004 0.7094
Tb7 Tb 0.9925 0.9996 0.2906
Tb8 Tb 0.6029 0.2500 0.8842
Sb1 Sb 0.7921 0.7500 0.9527
Sb2 Sb 0.2079 0.2500 0.0473
Rh1 Rh 0.2649 0.2500 0.5700
Rh2 Rh 0.7351 0.7500 0.4300
# - Space-group type: No. 11
# - Raw formation energy: -0.685 eV/atom
# - D(E_F): 5.30 states/eV/f.u.
# - Density: 8.67 g/cm³



Entry 3:
# Li2NiAu | the Alexandria database | PBE | relaxed
data_Li2NiAu
_chemical_formula_sum 'Li2 Ni1 Au1'
_space_group_name_H-M_alt 'P 1'
_space_group_IT_number 1
_cell_length_a 3.8223
_cell_length_b 3.7666
_cell_length_c 3.7666
_cell_angle_alpha 90.00
_cell_angle_beta 90.00
_cell_angle_gamma 90.00
loop_
_space_group_symop_operation_xyz
'x,y,z'
loop_
_atom_site_label
_atom_site_type_symbol
_atom_site_fract_x
_atom_site_fract_y
_atom_site_fract_z
Li1 Li 0.0000 0.0000 0.0000
Li2 Li 0.0000 0.5000 0.5000
Au1 Au 0.5000 0.0000 0.5000
Ni1 Ni 0.5000 0.5000 0.0000
# - Calculated formation energy: -0.25 eV/atom
# - Space-group type: No. 123
# - D(E_F): 1.79 states/eV/f.u.
# - Density: 8.25 g/cm³



How do the records compare in M_tot? In the order shown, they have 0.000 0.000 0.000 μB per atom.